[1]
DFT (PBE) results for BeHN2O after structural relaxation.

Summary:
Electronic total energy: -4.1059 eV/atom
Volume: 40.5 Å³/f.u.
Total moment: 0.97 μB/cell

```
BeHN2O
1.0
3.4862 0.0000 0.0000
0.0000 3.4862 0.0000
0.0000 0.0000 3.3314
Be H N O
1 1 2 1
direct
0.0000 0.0000 0.0000
0.5000 0.5000 0.5000
0.0000 0.5000 0.0000
0.5000 0.0000 0.0000
0.0000 0.0000 0.5000
```

***

[2]
DFT (PBE) results for BeHN2O after structural relaxation.

Summary:
Electronic total energy: -4.8488 eV/atom
Volume: 47.1 Å³/f.u.
Total moment: 0.27 μB/cell

```
BeHN2O
1.0
2.5873 0.0000 0.0000
0.0000 2.5873 0.0000
0.0000 0.0000 7.0343
Be H N O
1 1 2 1
direct
0.0000 0.0000 0.0000
0.5000 0.5000 0.5000
0.0000 0.5000 0.5000
0.5000 0.0000 0.5000
0.5000 0.5000 0.0000
```

***

[3]
DFT (PBE) results for BePH2N after structural relaxation.

Summary:
Electronic total energy: -4.2460 eV/atom
Volume: 39.1 Å³/f.u.
Total moment: 0.00 μB/cell

```
BePH2N
1.0
2.7970 0.0000 0.0000
0.0000 2.7970 0.0000
0.0000 0.0000 4.9919
Be P H N
1 1 2 1
direct
0.0000 0.0000 0.0000
0.0000 0.0000 0.5000
0.0000 0.5000 0.0000
0.5000 0.0000 0.0000
0.5000 0.5000 0.5000
```

***

[4]
DFT (PBE) results for BeHPdN after structural relaxation.

Summary:
Relative energy among the computed polymorphs: 19.8 meV/atom
Volume: 37.6 Å³/f.u.
Total moment: 0.00 μB/cell

```
BeHPdN
1.0
3.0288 -1.4781 0.0000
3.0288 1.4781 0.0000
-1.6962 0.0000 4.2034
Be H Pd N
1 1 1 1
direct
0.0000 0.0000 0.0000
0.2182 0.2182 0.7201
0.4005 0.4005 0.3627
0.3972 0.3972 0.8710
```

***

[5]
DFT (PBE) results for BeHPdN after structural relaxation.

Summary:
Relative energy among the computed polymorphs: 169.5 meV/atom
Volume: 38.5 Å³/f.u.
Total moment: 0.00 μB/cell

```
BeHPdN
1.0
-1.4136 1.5098 4.5126
1.4136 -1.5098 4.5126
1.4136 1.5098 -4.5126
Be H Pd N
1 1 1 1
direct
0.0000 0.0000 0.0000
0.8615 0.3615 0.5000
0.7290 0.7290 0.0000
0.5659 0.0659 0.5000
```

***

[6]
DFT (PBE) results for BeHPdN after structural relaxation.

Summary:
Relative energy among the computed polymorphs: 0.0 meV/atom
Volume: 37.4 Å³/f.u.
Total moment: 0.00 μB/cell

```
BeHPdN
1.0
2.8407 0.0000 0.0000
1.3610 2.4935 0.0000
0.7210 0.4081 5.2766
Be H Pd N
1 1 1 1
direct
0.0000 0.0000 0.0000
0.5532 0.5595 0.2363
0.6480 0.6477 0.5963
0.6591 0.6588 0.0410
```

***

[7]
DFT (PBE) results for BeHPdN after structural relaxation.

Summary:
Relative energy among the computed polymorphs: 73.8 meV/atom
Volume: 34.6 Å³/f.u.
Total moment: 0.00 μB/cell

```
BeHPdN
1.0
4.4899 0.0000 0.0000
0.0000 1.4821 2.6020
0.0000 -1.4821 2.6020
Be H Pd N
1 1 1 1
direct
0.0000 0.0000 0.0000
0.5000 0.0048 0.0048
0.5000 0.6746 0.6746
0.0000 0.6684 0.6684
```

***

[8]
DFT (PBE) results for BeHPdN after structural relaxation.

Summary:
Relative energy among the computed polymorphs: 47.8 meV/atom
Volume: 34.3 Å³/f.u.
Total moment: 0.00 μB/cell

```
BeHPdN
1.0
2.9831 0.0000 0.0000
-1.4915 2.5834 0.0000
0.0000 0.0000 4.4552
Be H Pd N
1 1 1 1
direct
0.0000 0.0000 0.0000
0.3333 0.6667 0.5037
0.6667 0.3333 0.4999
0.6667 0.3333 0.0002
```

***

[9]
DFT (PBE) results for PrBe2HN2 after structural relaxation.

Summary:
Electronic total energy: -6.1666 eV/atom
Volume: 64.0 Å³/f.u.
Total moment: 0.00 μB/cell

```
PrBe2HN2
1.0
3.3950 -4.6134 0.0000
3.3950 4.6134 0.0000
0.0000 0.0000 4.0887
Pr Be H N
2 4 2 4
direct
0.1948 0.8052 0.7500
0.8052 0.1948 0.2500
0.3213 0.3213 0.0000
0.3213 0.3213 0.5000
0.6787 0.6787 0.0000
0.6787 0.6787 0.5000
0.4221 0.5779 0.2500
0.5779 0.4221 0.7500
0.1180 0.3473 0.7500
0.3473 0.1180 0.2500
0.6527 0.8820 0.7500
0.8820 0.6527 0.2500
```

***

[10]
DFT (PBE) results for Be2ReHN after structural relaxation.

Summary:
Electronic total energy: -5.8446 eV/atom
Volume: 40.1 Å³/f.u.
Total moment: 0.00 μB/cell

```
Be2ReHN
1.0
2.9865 0.0000 0.0000
0.0000 2.9865 0.0000
0.0000 0.0000 4.4974
Be Re H N
2 1 1 1
direct
0.0000 0.5000 0.0000
0.5000 0.0000 0.0000
0.0000 0.0000 0.5000
0.5000 0.5000 0.0000
0.5000 0.5000 0.5000
```

***

[11]
DFT (PBE) results for BeHSN2 after structural relaxation.

Summary:
Relative energy among the computed polymorphs: 470.0 meV/atom
Volume: 41.5 Å³/f.u.
Total moment: 0.21 μB/cell

```
BeHSN2
1.0
3.7143 0.0000 0.0000
0.0000 3.7143 0.0000
0.0000 0.0000 3.0108
Be H S N
1 1 1 2
direct
0.0000 0.0000 0.0000
0.5000 0.5000 0.5000
0.5000 0.5000 0.0000
0.0000 0.5000 0.5000
0.5000 0.0000 0.5000
```

***

[12]
DFT (PBE) results for BeHSN2 after structural relaxation.

Summary:
Relative energy among the computed polymorphs: 0.0 meV/atom
Volume: 71.4 Å³/f.u.
Total moment: 0.22 μB/cell

```
BeHSN2
1.0
3.0748 0.0000 0.0000
0.0000 3.0748 0.0000
0.0000 0.0000 7.5472
Be H S N
1 1 1 2
direct
0.0000 0.0000 0.0000
0.5000 0.5000 0.5000
0.0000 0.0000 0.5000
0.0000 0.5000 0.0000
0.5000 0.0000 0.0000
```

***

[13]
DFT (PBE) results for BeSbH2N after structural relaxation.

Summary:
Electronic total energy: -3.4724 eV/atom
Volume: 59.5 Å³/f.u.
Total moment: 0.00 μB/cell

```
BeSbH2N
1.0
3.6142 0.0000 0.0000
0.0000 3.6142 0.0000
0.0000 0.0000 4.5526
Be Sb H N
1 1 2 1
direct
0.0000 0.0000 0.0000
0.5000 0.5000 0.5000
0.0000 0.5000 0.5000
0.5000 0.0000 0.5000
0.5000 0.5000 0.0000
```

***

[14]
DFT (PBE) results for ScBe2HN after structural relaxation.

Summary:
Electronic total energy: -3.0686 eV/atom
Volume: 84.3 Å³/f.u.
Total moment: 1.70 μB/cell

```
ScBe2HN
1.0
4.9356 0.0000 0.0000
0.0000 4.9356 0.0000
0.0000 0.0000 3.4594
Sc Be H N
1 2 1 1
direct
0.0000 0.0000 0.0000
0.0000 0.5000 0.0000
0.5000 0.0000 0.0000
0.0000 0.0000 0.5000
0.5000 0.5000 0.5000
```

***

[15]
DFT (PBE) results for BeHSeN2 after structural relaxation.

Summary:
Relative energy among the computed polymorphs: 0.0 meV/atom
Volume: 74.0 Å³/f.u.
Total moment: 0.00 μB/cell

```
BeHSeN2
1.0
3.1184 0.0000 0.0000
0.0000 3.1184 0.0000
0.0000 0.0000 7.6055
Be H Se N
1 1 1 2
direct
0.0000 0.0000 0.0000
0.5000 0.5000 0.5000
0.0000 0.0000 0.5000
0.0000 0.5000 0.0000
0.5000 0.0000 0.0000
```

***

[16]
DFT (PBE) results for BeHSeN2 after structural relaxation.

Summary:
Relative energy among the computed polymorphs: 680.7 meV/atom
Volume: 46.6 Å³/f.u.
Total moment: 0.00 μB/cell

```
BeHSeN2
1.0
3.8420 0.0000 0.0000
0.0000 3.8420 0.0000
0.0000 0.0000 3.1576
Be H Se N
1 1 1 2
direct
0.0000 0.0000 0.0000
0.5000 0.5000 0.5000
0.5000 0.5000 0.0000
0.0000 0.5000 0.5000
0.5000 0.0000 0.5000
```

***

[17]
DFT (PBE) results for BeSn2HN after structural relaxation.

Summary:
Electronic total energy: -4.1919 eV/atom
Volume: 67.2 Å³/f.u.
Total moment: 0.00 μB/cell

```
BeSn2HN
1.0
4.8599 0.0000 0.0000
0.0000 4.8599 0.0000
0.0000 0.0000 2.8454
Be Sn H N
1 2 1 1
direct
0.0000 0.0000 0.0000
0.0000 0.5000 0.5000
0.5000 0.0000 0.5000
0.5000 0.5000 0.0000
0.5000 0.5000 0.5000
```

***

[18]
DFT (PBE) results for Sr2BeHN after structural relaxation.

Summary:
Electronic total energy: -4.0000 eV/atom
Volume: 93.3 Å³/f.u.
Total moment: 0.00 μB/cell

```
Sr2BeHN
1.0
5.3088 0.0000 0.0000
0.0000 5.3088 0.0000
0.0000 0.0000 3.3109
Sr Be H N
2 1 1 1
direct
0.0000 0.5000 0.0000
0.5000 0.0000 0.0000
0.0000 0.0000 0.5000
0.5000 0.5000 0.5000
0.0000 0.0000 0.0000
```

***

[19]
DFT (PBE) results for BeTeHN2 after structural relaxation.

Summary:
Relative energy among the computed polymorphs: 800.2 meV/atom
Volume: 53.6 Å³/f.u.
Total moment: 0.00 μB/cell

```
BeTeHN2
1.0
3.9595 0.0000 0.0000
0.0000 3.9595 0.0000
0.0000 0.0000 3.4216
Be Te H N
1 1 1 2
direct
0.0000 0.0000 0.0000
0.5000 0.5000 0.0000
0.5000 0.5000 0.5000
0.0000 0.5000 0.5000
0.5000 0.0000 0.5000
```

***

[20]
DFT (PBE) results for BeTe2HN after structural relaxation.

Summary:
Relative energy among the computed polymorphs: 557.0 meV/atom
Volume: 71.8 Å³/f.u.
Total moment: 0.00 μB/cell

```
BeTe2HN
1.0
4.7523 0.0000 0.0000
0.0000 4.7523 0.0000
0.0000 0.0000 3.1795
Be Te H N
1 2 1 1
direct
0.0000 0.0000 0.0000
0.0000 0.5000 0.5000
0.5000 0.0000 0.5000
0.0000 0.0000 0.5000
0.5000 0.5000 0.0000
```